No. 1
Here is a relaxed structure of RbFeH2F8 from the Alexandria database. Energies are from PBE+U.

Cell lengths 4.9936, 4.9338, 7.8594 Å; angles 78.40, 91.29, 68.07 degrees
Site moments in Bohr magnetons follow the coordinates.
Element x y z (fractional)
F1 0.7753 0.2004 0.1437  0.00
F2 0.7851 0.7856 0.0008  0.04
F3 0.2247 0.7996 0.8563  0.00
F4 0.7670 0.2718 0.8096  -0.04
F5 0.2330 0.7282 0.1904  -0.04
F6 0.3421 0.3239 0.6123  0.00
F7 0.2149 0.2144 0.9992  0.04
F8 0.6579 0.6761 0.3877  0.00
Rb1 0.0000 0.0000 0.5000  0.00
H1 0.5275 0.7049 0.2864  0.00
H2 0.4725 0.2951 0.7136  0.00
Fe1 0.0000 0.0000 0.0000  3.03

Results
**Space group**: No. 2
**DFT total energy**: -4.184 eV/atom


No. 2
Here is a relaxed structure of FeSb2HF from the Alexandria database. Energies are from PBE+U.

Cell lengths 5.3958, 3.7493, 5.3958 Å; angles 90.00, 90.00, 90.00 degrees
Site moments in Bohr magnetons follow the coordinates.
Element x y z (fractional)
H1 0.5000 0.5000 0.5000  -0.10
Fe1 0.0000 0.0000 0.0000  3.53
Sb1 0.0000 0.0000 0.5000  -0.03
Sb2 0.5000 0.0000 0.0000  -0.08
F1 0.0000 0.5000 0.0000  0.07

Results
**Space group**: No. 123
**DFT total energy**: -3.621 eV/atom
**Density of states at the Fermi level**: 2.547 states/eV/f.u.


No. 3
Here is a relaxed structure of FeSiHF2 from the Alexandria database. Energies are from PBE+U.

Cell lengths 4.2543, 3.1444, 4.2543 Å; angles 90.00, 90.00, 90.00 degrees
Site moments in Bohr magnetons follow the coordinates.
Element x y z (fractional)
F1 0.0000 0.0000 0.5000  -0.01
F2 0.5000 0.0000 0.0000  0.01
H1 0.0000 0.0000 0.0000  -0.01
Fe1 0.5000 0.5000 0.5000  3.28
Si1 0.0000 0.5000 0.0000  -0.09

Results
**Space group**: No. 123
**DFT total energy**: -3.949 eV/atom
**Density of states at the Fermi level**: 1.042 states/eV/f.u.


No. 4
Here is a relaxed structure of FeHWF2 from the Alexandria database. Energies are from PBE+U.

Cell lengths 4.3756, 3.7417, 4.3756 Å; angles 90.00, 90.00, 90.00 degrees
Site moments in Bohr magnetons follow the coordinates.
Element x y z (fractional)
W1 0.0000 0.0000 0.0000  2.85
F1 0.0000 0.0000 0.5000  0.05
F2 0.5000 0.0000 0.0000  0.09
Fe1 0.5000 0.5000 0.5000  3.05
H1 0.0000 0.5000 0.0000  -0.02

Results
**Energy above the lowest structure with this stoichiometry**: 0.0000 eV per atom
**Space group**: No. 123
**DFT total energy**: -4.497 eV/atom
**Density of states at the Fermi level**: 1.390 states/eV/f.u.


No. 5
Here is a relaxed structure of FeHWF2 from the Alexandria database. Energies are from PBE+U.

Cell lengths 4.1275, 5.7452, 4.1275 Å; angles 90.00, 90.00, 90.00 degrees
Site moments in Bohr magnetons follow the coordinates.
Element x y z (fractional)
H1 0.5000 0.5000 0.5000  -0.01
W1 0.0000 0.0000 0.0000  -2.82
F1 0.5000 0.0000 0.0000  -0.08
F2 0.0000 0.0000 0.5000  -0.02
Fe1 0.0000 0.5000 0.0000  3.79

Results
**Energy above the lowest structure with this stoichiometry**: 0.1177 eV per atom
**Space group**: No. 123
**DFT total energy**: -4.379 eV/atom
**Density of states at the Fermi level**: 0.707 states/eV/f.u.


No. 6
Here is a relaxed structure of YFeHF2 from the Alexandria database. Energies are from PBE+U.

Cell lengths 4.4906, 4.3583, 4.4906 Å; angles 90.00, 90.00, 90.00 degrees
Site moments in Bohr magnetons follow the coordinates.
Element x y z (fractional)
Fe1 0.5000 0.5000 0.5000  3.89
Y1 0.0000 0.0000 0.0000  -0.03
F1 0.5000 0.0000 0.0000  0.00
F2 0.0000 0.0000 0.5000  0.01
H1 0.0000 0.5000 0.0000  0.00

Results
**Space group**: No. 123
**DFT total energy**: -5.388 eV/atom
**Density of states at the Fermi level**: 0.010 states/eV/f.u.